(1)
Entry from the Alexandria database: a geometry-optimized ScUTe2C structure (PBE).

Magnetization   0.47 μB/f.u.
Uncorrected formation energy   -71 kJ per mole of atoms
Total DFT energy (no corrections)   -73.65 eV per cell

Cell: 3.9839 3.9839 14.3153 Å, 90.00 90.00 90.00°
With the nearest neighbours (Å) after each atom.
Sites, in units of the cell vectors:
U  0.0000  0.5000  0.4206  4 C 2.29
U  0.5000  0.0000  0.5794  4 C 2.29
Sc  0.5000  0.0000  0.0877  6 Te 2.85-3.10
Sc  0.0000  0.5000  0.9123  6 Te 2.85-3.10
Te  0.5000  0.0000  0.3040  1 Sc 3.10, 4 U 3.27, 4 C 3.44
Te  0.0000  0.5000  0.1188  5 Sc 2.85-2.96
Te  0.0000  0.5000  0.6960  1 Sc 3.10, 4 U 3.27, 4 C 3.44
Te  0.5000  0.0000  0.8812  5 Sc 2.85-2.96
C  0.5000  0.5000  0.5000  4 U 2.29
C  0.0000  0.0000  0.5000  4 U 2.29

---

(2)
Entry from the Alexandria database: a geometry-optimized Pm2PuURu2 structure (PBE).

Magnetization   6.56 μB/f.u.
Energy of formation   -103 meV/atom
Total DFT energy (no corrections)   -108.58 eV per cell

Cell: 7.1638 6.9825 8.0086 Å, 115.84 116.57 90.00°
With the nearest neighbours (Å) after each atom.
Sites, in units of the cell vectors:
Pm  0.4356  0.1910  0.3820  2 Ru 2.99-3.27
Pm  0.0536  0.3090  0.6180  2 Ru 2.99-3.27
Pm  0.9464  0.6910  0.3820  2 Ru 2.99-3.27
Pm  0.5644  0.8090  0.6180  2 Ru 2.99-3.27
Pu  0.0000  0.7500  0.0000  4 Ru 2.75
Pu  0.0000  0.2500  0.0000  4 Ru 2.75
Ru  0.3403  0.5699  0.1399  2 U 2.55, 2 Pu 2.75
Ru  0.2004  0.9301  0.8601  2 U 2.55, 2 Pu 2.75
Ru  0.6597  0.4301  0.8601  2 U 2.55, 2 Pu 2.75
Ru  0.7996  0.0699  0.1399  2 U 2.55, 2 Pu 2.75
U  0.5000  0.7500  0.0000  4 Ru 2.55
U  0.5000  0.2500  0.0000  4 Ru 2.55

---

(3)
Entry from the Alexandria database: a geometry-optimized CaMoBr3 structure (PBE).

Energy above the lowest structure with this stoichiometry   0.0 meV per atom
Magnetization   5.00 μB/f.u.
Uncorrected formation energy   -32 kJ per mole of atoms
Total DFT energy (no corrections)   -19.53 eV per cell

Cell: 5.6070 5.6070 5.6070 Å, 90.00 90.00 90.00°
With the nearest neighbours (Å) after each atom.
Sites, in units of the cell vectors:
Ca  0.0000  0.0000  0.0000  6 Br 2.80
Br  0.0000  0.0000  0.5000  2 Ca 2.80
Br  0.5000  0.0000  0.0000  2 Ca 2.80
Br  0.0000  0.5000  0.0000  2 Ca 2.80
Mo  0.5000  0.5000  0.5000  12 Br 3.96

---

(4)
Entry from the Alexandria database: a geometry-optimized ScGaPb2S5 structure (PBE).

Magnetization   0.00 μB/f.u.
Uncorrected formation energy   -93 kJ per mole of atoms
Total DFT energy (no corrections)   -92.13 eV per cell

Cell: 3.8278 8.9223 12.7010 Å, 90.00 90.00 102.39°
With the nearest neighbours (Å) after each atom.
Sites, in units of the cell vectors:
Pb  0.8691  0.7381  0.1696  3 S 2.80-2.86
Pb  0.8747  0.7494  0.8204  6 S 2.86-3.13
Pb  0.1253  0.2506  0.3204  6 S 2.86-3.13
Pb  0.1309  0.2619  0.6696  3 S 2.80-2.86
Ga  0.4423  0.8845  0.4303  4 S 2.24-2.34
Ga  0.5577  0.1155  0.9303  4 S 2.24-2.34
Sc  0.7977  0.5954  0.5270  6 S 2.54-2.73
Sc  0.2023  0.4046  0.0270  6 S 2.54-2.73
S  0.6873  0.3746  0.8863  1 Ga 2.33
S  0.3477  0.6953  0.0116  1 Sc 2.54, 2 Pb 2.80
S  0.9543  0.9086  0.5357  2 Ga 2.34
S  0.4928  0.9857  0.7777  1 Ga 2.24
S  0.2952  0.5904  0.6653  2 Sc 2.60, 1 Pb 2.86
S  0.5072  0.0143  0.2777  1 Ga 2.24
S  0.3127  0.6254  0.3863  1 Ga 2.33
S  0.0457  0.0914  0.0357  2 Ga 2.34
S  0.7048  0.4096  0.1653  2 Sc 2.60, 1 Pb 2.86
S  0.6523  0.3047  0.5116  1 Sc 2.54, 2 Pb 2.80

---

(5)
Entry from the Alexandria database: a geometry-optimized Cs3SrBr structure (PBE).

Energy above the lowest structure with this stoichiometry   0.0 meV per atom
Magnetization   0.16 μB/f.u.
Uncorrected formation energy   -53 kJ per mole of atoms
Total DFT energy (no corrections)   -8.68 eV per cell

Cell: 7.2531 7.2531 7.2531 Å, 90.00 90.00 90.00°
With the nearest neighbours (Å) after each atom.
Sites, in units of the cell vectors:
Cs  0.0000  0.0000  0.5000  2 Br 3.63
Cs  0.5000  0.0000  0.0000  2 Br 3.63
Cs  0.0000  0.5000  0.0000  2 Br 3.63
Br  0.0000  0.0000  0.0000  6 Cs 3.63
Sr  0.5000  0.5000  0.5000  12 Cs 5.13

---

(6)
Entry from the Alexandria database: a geometry-optimized CuRePb2 structure (PBE).

Energy above the lowest structure with this stoichiometry   400.7 meV per atom
Magnetization   0.00 μB/f.u.
Energy of formation   995 meV/atom
Total DFT energy (no corrections)   -19.98 eV per cell

Cell: 3.2685 5.6106 4.5559 Å, 90.00 90.00 90.00°
With the nearest neighbours (Å) after each atom.
Sites, in units of the cell vectors:
Cu  0.0000  0.5000  0.5000  4 Pb 2.80
Re  0.5000  0.0000  0.5000  4 Pb 2.80
Pb  0.0000  0.0000  0.0000  4 Re 2.80
Pb  0.5000  0.5000  0.0000  4 Cu 2.80

---

(7)
Entry from the Alexandria database: a geometry-optimized CsMg2Ga10 structure (PBE).

Magnetization   0.00 μB/f.u.
Energy of formation   -22 meV/atom
Total DFT energy (no corrections)   -34.60 eV per cell

Cell: 5.8717 7.5901 7.4695 Å, 81.26 66.86 67.24°
With the nearest neighbours (Å) after each atom.
Sites, in units of the cell vectors:
Mg  0.5000  0.0000  0.5000  8 Ga 2.92-3.06, 2 Mg 2.94
Mg  0.0000  0.0000  0.5000  8 Ga 2.92-3.06, 2 Mg 2.94
Ga  0.5080  0.7507  0.2334  4 Ga 2.79-2.89, 2 Mg 2.92
Ga  0.0000  0.5000  0.0000  10 Ga 2.79-3.05
Ga  0.9987  0.6415  0.3610  5 Ga 2.75-3.05, 2 Mg 3.06
Ga  0.2587  0.2493  0.2334  4 Ga 2.79-2.89, 2 Mg 2.92
Ga  0.3598  0.6415  0.6390  5 Ga 2.75-3.05, 2 Mg 3.06
Ga  0.6402  0.3585  0.3610  5 Ga 2.75-3.05, 2 Mg 3.06
Ga  0.7413  0.7507  0.7666  4 Ga 2.79-2.89, 2 Mg 2.92
Ga  0.4920  0.2493  0.7666  4 Ga 2.79-2.89, 2 Mg 2.92
Ga  0.5000  0.5000  0.0000  10 Ga 2.79-3.05
Ga  0.0013  0.3585  0.6390  5 Ga 2.75-3.05, 2 Mg 3.06
Cs  0.0000  0.0000  0.0000  16 Ga 3.53-3.80, 4 Mg 3.73

---

(8)
Entry from the Alexandria database: a geometry-optimized Ba6NiPt2Br3 structure (PBE).

Magnetization   0.00 μB/f.u.
Uncorrected formation energy   -106 kJ per mole of atoms
Total DFT energy (no corrections)   -47.65 eV per cell

Cell: 7.8781 7.8781 8.7315 Å, 98.65 98.65 119.99°
With the nearest neighbours (Å) after each atom.
Sites, in units of the cell vectors:
Ba  0.9293  0.5983  0.7878  1 Ni 3.15, 2 Pt 3.17
Ba  0.7399  0.7399  0.2125  1 Ni 3.15, 2 Pt 3.17
Ba  0.4017  0.0707  0.2122  1 Ni 3.15, 2 Pt 3.17
Ba  0.0707  0.4017  0.2122  1 Ni 3.15, 2 Pt 3.17
Ba  0.2601  0.2601  0.7875  1 Ni 3.15, 2 Pt 3.17
Ba  0.5983  0.9293  0.7878  1 Ni 3.15, 2 Pt 3.17
Pt  0.6666  0.3334  0.0000  6 Ba 3.17
Pt  0.3334  0.6666  0.0000  6 Ba 3.17
Br  0.1673  0.8327  0.5000  6 Ba 3.55-3.56
Br  0.8327  0.1673  0.5000  6 Ba 3.55-3.56
Br  0.5000  0.5000  0.5000  6 Ba 3.55-3.57
Ni  0.0000  0.0000  0.0000  6 Ba 3.15

---

(9)
Entry from the Alexandria database: a geometry-optimized YHgSe2 structure (PBE).

Magnetization   0.00 μB/f.u.
Uncorrected formation energy   -84 kJ per mole of atoms
Total DFT energy (no corrections)   -17.21 eV per cell

Cell: 6.4044 6.4044 6.4044 Å, 142.83 142.83 53.58°
With the nearest neighbours (Å) after each atom.
Sites, in units of the cell vectors:
Hg  0.7500  0.2500  0.5000  4 Se 2.89
Se  0.2500  0.7500  0.5000  4 Hg 2.89
Se  0.0000  0.0000  0.0000  4 Y 2.89
Y  0.5000  0.5000  0.0000  4 Se 2.89

---

(10)
Entry from the Alexandria database: a geometry-optimized BeTlAsO4 structure (PBE).

Energy above the lowest structure with this stoichiometry   0.0 meV per atom
Magnetization   0.00 μB/f.u.
Uncorrected formation energy   -159 kJ per mole of atoms
Total DFT energy (no corrections)   -168.33 eV per cell

Cell: 5.0341 8.3019 10.1012 Å, 90.00 90.00 90.00°
With the nearest neighbours (Å) after each atom.
Sites, in units of the cell vectors:
O  0.1539  0.5936  0.6754  1 Be 1.64, 1 As 1.73
O  0.6539  0.0936  0.8246  1 Be 1.64, 1 As 1.73
O  0.6539  0.4064  0.3246  1 Be 1.64, 1 As 1.73
O  0.1539  0.9064  0.1754  1 Be 1.64, 1 As 1.73
O  0.1392  0.9658  0.8128  1 Be 1.63, 1 As 1.72
O  0.5198  0.6761  0.4856  1 Be 1.65, 1 As 1.72
O  0.5666  0.7075  0.2131  1 Be 1.66, 1 As 1.71
O  0.6392  0.0342  0.1872  1 Be 1.63, 1 As 1.72
O  0.6392  0.4658  0.6872  1 Be 1.63, 1 As 1.72
O  0.5666  0.7925  0.7131  1 Be 1.66, 1 As 1.71
O  0.5198  0.8239  0.9856  1 Be 1.65, 1 As 1.72
O  0.0666  0.2075  0.2869  1 Be 1.66, 1 As 1.71
O  0.0198  0.3239  0.5144  1 Be 1.65, 1 As 1.72
O  0.0198  0.1761  0.0144  1 Be 1.65, 1 As 1.72
O  0.0666  0.2925  0.7869  1 Be 1.66, 1 As 1.71
O  0.1392  0.5342  0.3128  1 Be 1.63, 1 As 1.72
As  0.4684  0.9195  0.8373  4 O 1.71-1.73
As  0.9684  0.0805  0.1627  4 O 1.71-1.73
As  0.9684  0.4195  0.6627  4 O 1.71-1.73
As  0.4684  0.5805  0.3373  4 O 1.71-1.73
Be  0.4682  0.6235  0.6413  4 O 1.63-1.66
Be  0.4682  0.8765  0.1413  4 O 1.63-1.66
Be  0.9682  0.1235  0.8587  4 O 1.63-1.66
Be  0.9682  0.3765  0.3587  4 O 1.63-1.66
Tl  0.9749  0.6380  0.0590  4 O 2.64-2.86
Tl  0.4749  0.1380  0.4410  4 O 2.64-2.86
Tl  0.4749  0.3620  0.9410  4 O 2.64-2.86
Tl  0.9749  0.8620  0.5591  4 O 2.64-2.86

---

(11)
Entry from the Alexandria database: a geometry-optimized Mn2BMo structure (PBE).

Magnetization   1.83 μB/f.u.
Energy of formation   223 meV/atom
Total DFT energy (no corrections)   -69.91 eV per cell

Cell: 6.4768 6.4768 5.0926 Å, 50.51 50.51 90.00°
With the nearest neighbours (Å) after each atom.
Sites, in units of the cell vectors:
B  0.2500  0.7500  0.5000  4 Mn 1.99
B  0.5000  0.5000  0.0000  4 Mn 1.99
Mn  0.8750  0.7801  0.7500  2 B 1.99
Mn  0.5301  0.1250  0.2500  2 B 1.99
Mn  0.3750  0.4699  0.7500  2 B 1.99
Mn  0.2199  0.6250  0.2500  2 B 1.99
Mo  0.7500  0.2500  0.5000  2 B 2.23
Mo  0.0000  0.0000  0.0000  2 B 2.23

---

(12)
Entry from the Alexandria database: a geometry-optimized TlAgSe2 structure (PBE).

Magnetization   0.00 μB/f.u.
Uncorrected formation energy   7 kJ per mole of atoms
Total DFT energy (no corrections)   -11.88 eV per cell

Cell: 3.9822 7.2042 3.8320 Å, 90.00 90.00 90.00°
With the nearest neighbours (Å) after each atom.
Sites, in units of the cell vectors:
Se  0.0000  0.0000  0.0000  4 Tl 2.76
Se  0.5000  0.5000  0.0000  4 Ag 2.76
Ag  0.0000  0.5000  0.5000  4 Se 2.76
Tl  0.5000  0.0000  0.5000  4 Se 2.76